The following is a PBE calculation of an optimized crystal structure of NaCdSeF, from Alexandria.

Cell: 4.162 4.162 16.467 Å, 82.74 82.74 60.00°
Atoms (fractional coordinates):
F 0.790 0.790 0.631
F 0.210 0.210 0.369
Cd 0.033 0.033 0.902
Cd 0.967 0.967 0.098
Se 0.716 0.716 0.852
Se 0.284 0.284 0.148
Na 0.457 0.457 0.629
Na 0.543 0.543 0.371

Properties
**Formation energy from raw total energies**: -1.329 eV per atom


The following is a PBE calculation of an optimized crystal structure of Re2NiBOs, from Alexandria.

Cell: 4.749 3.905 4.749 Å, 90.00 90.00 90.00°
Atoms (fractional coordinates):
B 0.000 0.500 0.000
Ni 0.500 0.500 0.500
Re 0.500 0.000 0.000
Re 0.000 0.000 0.500
Os 0.000 0.000 0.000

Properties
**DOS(E_F)**: 1.17 states/eV/atom
**ΔE_f**: 2.03 eV per atom


The following is a PBE calculation of an optimized crystal structure of Ba2NaSi3Pd12, from Alexandria.

Cell: 7.028 7.028 7.028 Å, 82.82 82.82 82.82°
Atoms (fractional coordinates):
Pd 0.328 0.831 0.831
Pd 0.926 0.346 0.346
Pd 0.831 0.328 0.831
Pd 0.654 0.654 0.074
Pd 0.672 0.169 0.169
Pd 0.169 0.169 0.672
Pd 0.346 0.346 0.926
Pd 0.169 0.672 0.169
Pd 0.654 0.074 0.654
Pd 0.831 0.831 0.328
Pd 0.074 0.654 0.654
Pd 0.346 0.926 0.346
Si 0.000 0.000 0.500
Si 0.000 0.500 0.000
Si 0.500 0.000 0.000
Na 0.000 0.000 0.000
Ba 0.620 0.620 0.620
Ba 0.380 0.380 0.380

Properties
**DOS(E_F)**: 0.26 states/eV/atom
**Formation energy from raw total energies**: -0.272 eV per atom


The following is a PBE calculation of an optimized crystal structure of PmCuF6, from Alexandria.

Cell: 5.340 5.342 5.771 Å, 62.41 62.39 59.94°
Each line ends with the local moment (μB).
Atoms (fractional coordinates):
F 0.913 0.637 0.231  0.13
F 0.363 0.780 0.770  0.13
F 0.220 0.913 0.231  0.13
F 0.637 0.220 0.230  0.13
F 0.780 0.087 0.769  0.13
F 0.087 0.363 0.769  0.13
Pm 0.500 0.500 0.500  0.03
Cu 0.000 0.000 0.000  1.11

Properties
**Formation energy from raw total energies**: -2.683 eV per atom
**Excess energy over the best structure of this formula in the dataset**: 0.0 kJ per mole of atoms


The following is a PBE calculation of an optimized crystal structure of LiMn2Cl6, from Alexandria.

Cell: 6.302 6.302 6.853 Å, 62.63 62.63 60.00°
Each line ends with the local moment (μB).
Atoms (fractional coordinates):
Li 0.793 0.793 0.621  0.01
Cl 0.537 0.225 0.364  0.04
Cl 0.680 0.077 0.853  0.05
Cl 0.077 0.390 0.853  0.05
Cl 0.390 0.680 0.853  0.05
Cl 0.874 0.537 0.364  0.04
Cl 0.225 0.874 0.364  0.04
Mn 0.470 0.470 0.591  3.94
Mn 0.289 0.289 0.134  4.20

Properties
**DOS(E_F)**: 0.53 states/eV/atom
**Formation energy from raw total energies**: -1.151 eV per atom
**Excess energy over the best structure of this formula in the dataset**: 0.0 kJ per mole of atoms


The following is a PBE calculation of an optimized crystal structure of Tc3SnN, from Alexandria.

Cell: 3.282 3.282 16.717 Å, 90.00 90.00 120.00°
Atoms (fractional coordinates):
Tc 0.333 0.667 0.876
Tc 0.000 0.000 0.750
Tc 0.000 0.000 0.250
Tc 0.333 0.667 0.624
Tc 0.667 0.333 0.376
Tc 0.667 0.333 0.124
Sn 0.000 0.000 0.000
Sn 0.000 0.000 0.500
N 0.333 0.667 0.750
N 0.667 0.333 0.250

Properties
**DOS(E_F)**: 1.07 states/eV/atom
**Formation energy from raw total energies**: 0.356 eV per atom
**Excess energy over the best structure of this formula in the dataset**: 30.2 kJ per mole of atoms


The following is a PBE calculation of an optimized crystal structure of LaMgTc2, from Alexandria.

Cell: 3.560 3.562 6.610 Å, 90.00 90.00 90.00°
Atoms (fractional coordinates):
Tc 0.000 0.000 0.577
Tc 0.000 0.000 0.923
Mg 0.500 0.500 0.750
La 0.500 0.500 0.250

Properties
**DOS(E_F)**: 0.60 states/eV/atom
**ΔE_f**: 0.34 eV per atom


The following is a PBE calculation of an optimized crystal structure of HfNb2AlB, from Alexandria.

Cell: 4.894 5.069 4.894 Å, 90.00 90.00 90.00°
Atoms (fractional coordinates):
B 0.500 0.500 0.500
Al 0.000 0.500 0.000
Nb 0.000 0.000 0.500
Nb 0.500 0.000 0.000
Hf 0.000 0.000 0.000

Properties
**DOS(E_F)**: 1.49 states/eV/atom
**ΔE_f**: 2.32 eV per atom


The following is a PBE calculation of an optimized crystal structure of SrAgTe2, from Alexandria.

Cell: 9.384 9.384 9.384 Å, 29.28 29.28 29.28°
Atoms (fractional coordinates):
Te 0.903 0.903 0.903
Te 0.097 0.097 0.097
Ag 0.000 0.000 0.000
Sr 0.500 0.500 0.500

Properties
**DOS(E_F)**: 0.96 states/eV/atom
**Formation energy from raw total energies**: -0.559 eV per atom


The following is a PBE calculation of an optimized crystal structure of Tl2GaHgRh, from Alexandria.

Cell: 5.329 5.329 4.828 Å, 90.00 90.00 90.00°
Atoms (fractional coordinates):
Rh 0.000 0.000 0.000
Tl 0.000 0.500 0.000
Tl 0.500 0.000 0.000
Hg 0.500 0.500 0.500
Ga 0.000 0.000 0.500

Properties
**DOS(E_F)**: 0.34 states/eV/atom
**ΔE_f**: -0.09 eV per atom


The following is a PBE calculation of an optimized crystal structure of NbCl3O, from Alexandria.

Cell: 4.808 4.808 4.808 Å, 90.00 90.00 90.00°
Atoms (fractional coordinates):
Nb 0.000 0.000 0.000
Cl 0.000 0.500 0.000
Cl 0.000 0.000 0.500
Cl 0.500 0.000 0.000
O 0.500 0.500 0.500

Properties
**DOS(E_F)**: 8.84 states/eV/atom
**Formation energy from raw total energies**: -0.067 eV per atom


The following is a PBE calculation of an optimized crystal structure of Pa4Ru, from Alexandria.

Cell: 5.212 5.212 5.212 Å, 90.00 90.00 90.00°
Each line ends with the local moment (μB).
Atoms (fractional coordinates):
Pa 0.000 0.000 0.000  0.08
Pa 0.500 0.000 0.500  0.01
Pa 0.000 0.500 0.500  0.01
Pa 0.500 0.500 0.000  0.01
Ru 0.500 0.500 0.500  0.00

Properties
**DOS(E_F)**: 2.54 states/eV/atom
**Excess energy over the best structure of this formula in the dataset**: 48.1 kJ per mole of atoms
**ΔE_f**: 0.45 eV per atom